An optimized crystal structure of MnBeSe2. Source: Alexandria via LeMat-Bulk, functional PBE.

abc: 7.439 7.439 7.439
angles: 154.65 154.46 36.29
Fractional positions:
Mn  0.000  0.000  0.000
Be  0.629  0.129  0.500
Se  0.156  0.656  0.500
Se  0.423  0.423  0.000

Computed properties:
Symmetry: Imm2
ρ, g cm⁻³: 4.855
DOS at the Fermi energy, states/eV/atom: 0.26
ΔE_f (raw), meV/atom: -165.7